Entry from the Alexandria database: a relaxed Mn6FeO8 crystal (PBE with a Hubbard U).

a b c (Å): 8.3129 8.3129 3.6779
angles (deg): 90.00 90.00 120.00
Space group P-3 (No. 147)
Inequivalent atoms, fractional coordinates:
Mn1 0.1874 0.7955 0.2292
Fe1 0.0000 0.0000 0.5000
O1 0.0871 0.2919 0.7297
O2 0.3333 0.6667 0.2253

=====

Entry from the Alexandria database: a relaxed MnFe2O3 crystal (PBE with a Hubbard U).

a b c (Å): 3.226 4.276 9.574
angles (deg): 90.00 90.00 90.00
Space group Immm (No. 71)
Inequivalent atoms, fractional coordinates:
Mn1 0.000 0.000 0.000
Fe1 0.000 0.000 0.334
O1 0.000 0.500 0.000
O2 0.000 0.500 0.331

The calculation puts the distance to the lowest polymorph of the same formula at 0 meV/atom.

=====

Entry from the Alexandria database: a relaxed MnFe2O crystal (PBE with a Hubbard U).

a b c (Å): 6.111 6.111 6.111
angles (deg): 90.00 90.00 90.00
Space group Fm-3m (No. 225)
Inequivalent atoms, fractional coordinates:
Mn1 0.000 0.000 0.000
Fe1 0.250 0.250 0.250
O1 0.000 0.000 0.500

The calculation puts the distance to the lowest polymorph of the same formula at 833 meV/atom.

=====

| no. | E_tot (eV per cell) |
| --- | --- |
| 1 | -110.587 |
| 2 | -84.342 |
| 3 | -80.340 |